Entry 1:
VASP calculation (PBE) on crystalline AcTbSm2 at its relaxed geometry.

Cell lengths 5.894, 5.894, 5.894 Å; angles 60.00, 60.00, 60.00 degrees
Positions (direct):
Sm: 0.750 0.750 0.750
Sm: 0.250 0.250 0.250
Tb: 0.500 0.500 0.500
Ac: 0.000 0.000 0.000

Properties
Symmetry ... Fm-3m

***

Entry 2:
VASP calculation (PBE) on crystalline Ac6Tb2Sm at its relaxed geometry.

Cell lengths 7.771, 9.917, 9.917 Å; angles 78.63, 89.84, 89.84 degrees
Positions (direct):
Tb: 0.109 0.196 0.206
Ac: 0.123 0.102 0.609
Ac: 0.630 0.598 0.607
Ac: 0.623 0.609 0.102
Tb: 0.891 0.804 0.794
Ac: 0.612 0.112 0.655
Ac: 0.888 0.345 0.888
Ac: 0.870 0.393 0.402
Sm: 0.250 0.029 0.971
Sm: 0.750 0.971 0.029
Ac: 0.130 0.607 0.598
Tb: 0.391 0.794 0.804
Ac: 0.112 0.655 0.112
Ac: 0.877 0.898 0.391
Tb: 0.609 0.206 0.196
Ac: 0.377 0.391 0.898
Ac: 0.370 0.402 0.393
Ac: 0.388 0.888 0.345

Properties
Symmetry ... C2/c

***

Entry 3:
VASP calculation (PBE) on crystalline AcTb12Sm7 at its relaxed geometry.

Cell lengths 9.868, 9.868, 9.868 Å; angles 109.47, 109.47, 109.47 degrees
Positions (direct):
Sm: 0.500 0.000 0.000
Sm: 0.000 0.000 0.500
Tb: 0.744 0.489 0.744
Tb: 0.256 0.256 0.511
Sm: 0.500 0.500 0.500
Tb: 0.256 0.744 0.000
Tb: 0.511 0.256 0.256
Tb: 0.489 0.744 0.744
Tb: 0.744 0.256 0.000
Sm: 0.000 0.500 0.500
Sm: 0.500 0.500 0.000
Sm: 0.500 0.000 0.500
Tb: 0.256 0.000 0.744
Ac: 0.000 0.000 0.000
Sm: 0.000 0.500 0.000
Tb: 0.000 0.256 0.744
Tb: 0.744 0.744 0.489
Tb: 0.256 0.511 0.256
Tb: 0.744 0.000 0.256
Tb: 0.000 0.744 0.256

Properties
Symmetry ... Im-3m

***

Entry 4:
VASP calculation (PBE) on crystalline AcTb8Sm3 at its relaxed geometry.

Cell lengths 8.830, 8.830, 8.825 Å; angles 98.34, 137.48, 96.80 degrees
Positions (direct):
Tb: 0.824 0.572 0.748
Sm: 0.500 0.740 0.240
Tb: 0.176 0.428 0.251
Tb: 0.176 0.925 0.749
Tb: 0.016 0.261 0.755
Tb: 0.506 0.261 0.245
Sm: 0.000 0.500 0.500
Tb: 0.494 0.739 0.755
Ac: 0.000 0.000 0.000
Tb: 0.984 0.739 0.245
Sm: 0.500 0.260 0.760
Tb: 0.824 0.075 0.252

Properties
Symmetry ... C2/m

***

Entry 5:
VASP calculation (PBE) on crystalline AcTb7Sm2 at its relaxed geometry.

Cell lengths 3.631, 11.403, 9.570 Å; angles 96.73, 67.74, 71.39 degrees
Positions (direct):
Tb: 0.198 0.599 0.203
Tb: 0.910 0.691 0.898
Tb: 0.500 0.500 0.500
Ac: 0.000 0.000 0.000
Sm: 0.296 0.897 0.306
Sm: 0.704 0.103 0.694
Tb: 0.394 0.205 0.401
Tb: 0.802 0.401 0.797
Tb: 0.090 0.309 0.102
Tb: 0.606 0.795 0.599

Properties
Symmetry ... P2/m

***

Entry 6:
VASP calculation (PBE) on crystalline AcTb7Sm4 at its relaxed geometry.

Cell lengths 7.299, 6.314, 11.585 Å; angles 79.51, 50.99, 89.99 degrees
Positions (direct):
Tb: 0.747 0.500 0.000
Sm: 0.411 0.720 0.337
Tb: 0.664 0.224 0.337
Tb: 0.336 0.776 0.663
Sm: 0.168 0.221 0.333
Tb: 0.917 0.720 0.336
Ac: 0.000 0.000 0.000
Sm: 0.832 0.779 0.667
Tb: 0.253 0.500 0.000
Sm: 0.589 0.280 0.663
Tb: 0.083 0.280 0.664
Tb: 0.500 0.000 0.000

Properties
Symmetry ... P-1

***

Entry 7:
VASP calculation (PBE) on crystalline Ac2TbSm9 at its relaxed geometry.

Cell lengths 5.202, 5.202, 15.621 Å; angles 90.00, 90.00, 90.00 degrees
Positions (direct):
Sm: 0.000 0.500 0.160
Sm: 0.500 0.000 0.840
Sm: 0.500 0.500 0.000
Ac: 0.000 0.000 0.669
Tb: 0.000 0.000 0.000
Sm: 0.000 0.500 0.500
Sm: 0.000 0.500 0.840
Sm: 0.500 0.000 0.500
Sm: 0.500 0.500 0.330
Ac: 0.000 0.000 0.331
Sm: 0.500 0.000 0.160
Sm: 0.500 0.500 0.670

Properties
Symmetry ... P4/mmm

***

Entry 8:
VASP calculation (PBE) on crystalline Ac12TbSm6 at its relaxed geometry.

Cell lengths 9.868, 9.868, 9.868 Å; angles 106.53, 106.53, 106.53 degrees
Positions (direct):
Ac: 0.876 0.171 0.729
Ac: 0.190 0.582 0.484
Sm: 0.542 0.920 0.809
Sm: 0.809 0.542 0.920
Sm: 0.080 0.191 0.458
Ac: 0.124 0.829 0.271
Ac: 0.582 0.484 0.190
Ac: 0.171 0.729 0.876
Ac: 0.271 0.124 0.829
Ac: 0.729 0.876 0.171
Ac: 0.484 0.190 0.582
Sm: 0.191 0.458 0.080
Ac: 0.829 0.271 0.124
Ac: 0.418 0.516 0.810
Ac: 0.516 0.810 0.418
Ac: 0.810 0.418 0.516
Sm: 0.920 0.809 0.542
Tb: 0.000 0.000 0.000
Sm: 0.458 0.080 0.191

Properties
Symmetry ... R-3

***

Entry 9:
VASP calculation (PBE) on crystalline AcTb3Sm4 at its relaxed geometry.

Cell lengths 3.764, 5.940, 12.922 Å; angles 103.29, 98.36, 90.00 degrees
Positions (direct):
Ac: 0.000 0.500 0.000
Tb: 0.266 0.766 0.532
Tb: 0.734 0.234 0.468
Tb: 0.500 0.000 0.000
Sm: 0.886 0.886 0.772
Sm: 0.114 0.114 0.228
Sm: 0.641 0.641 0.282
Sm: 0.359 0.359 0.718

Properties
Symmetry ... Immm

***

Entry 10:
VASP calculation (PBE) on crystalline Ac9Tb2Sm at its relaxed geometry.

Cell lengths 5.499, 5.499, 16.499 Å; angles 90.00, 90.00, 90.00 degrees
Positions (direct):
Ac: 0.500 0.000 0.500
Ac: 0.000 0.500 0.168
Ac: 0.500 0.000 0.168
Tb: 0.000 0.000 0.666
Ac: 0.500 0.500 0.000
Ac: 0.500 0.500 0.666
Ac: 0.000 0.500 0.832
Tb: 0.000 0.000 0.334
Sm: 0.000 0.000 0.000
Ac: 0.500 0.500 0.334
Ac: 0.000 0.500 0.500
Ac: 0.500 0.000 0.832

Properties
Symmetry ... P4/mmm

***

Entry 11:
VASP calculation (PBE) on crystalline AcTb5Sm12 at its relaxed geometry.

Cell lengths 15.407, 10.893, 5.127 Å; angles 90.00, 90.00, 44.99 degrees
Positions (direct):
Sm: 0.665 0.000 0.000
Tb: 0.666 0.667 0.000
Sm: 0.337 0.662 0.000
Tb: 0.829 0.341 0.500
Sm: 0.169 0.332 0.500
Sm: 0.171 0.000 0.500
Sm: 0.829 0.000 0.500
Sm: 0.001 0.662 0.000
Tb: 0.334 0.333 0.000
Tb: 0.171 0.659 0.500
Tb: 0.500 0.000 0.500
Sm: 0.501 0.668 0.500
Ac: 0.000 0.000 0.000
Sm: 0.335 0.000 0.000
Sm: 0.663 0.338 0.000
Sm: 0.999 0.338 0.000
Sm: 0.499 0.332 0.500
Sm: 0.831 0.668 0.500

Properties
Symmetry ... Cmmm

***

Entry 12:
VASP calculation (PBE) on crystalline AcTb4Sm10 at its relaxed geometry.

Cell lengths 6.861, 9.658, 9.658 Å; angles 82.75, 69.19, 69.19 degrees
Positions (direct):
Sm: 0.378 0.579 0.162
Sm: 0.459 0.162 0.421
Ac: 0.000 0.000 0.000
Tb: 0.680 0.753 0.888
Tb: 0.567 0.112 0.753
Sm: 0.957 0.162 0.421
Tb: 0.320 0.247 0.112
Sm: 0.119 0.421 0.838
Sm: 0.881 0.579 0.162
Sm: 0.043 0.838 0.579
Sm: 0.750 0.500 0.500
Sm: 0.622 0.421 0.838
Sm: 0.541 0.838 0.579
Tb: 0.433 0.888 0.247
Sm: 0.250 0.500 0.500

Properties
Symmetry ... I4/m

***

Entry 13:
VASP calculation (PBE) on crystalline Ac6TbSm5 at its relaxed geometry.

Cell lengths 5.478, 10.386, 10.067 Å; angles 121.06, 105.78, 90.00 degrees
Positions (direct):
Sm: 0.334 0.334 0.668
Sm: 0.667 0.167 0.333
Ac: 0.834 0.083 0.667
Ac: 0.166 0.917 0.333
Ac: 0.500 0.751 0.000
Ac: 0.166 0.416 0.333
Ac: 0.500 0.249 0.000
Sm: 0.666 0.666 0.332
Sm: 0.333 0.833 0.667
Tb: 0.000 0.000 0.000
Sm: 0.000 0.500 0.000
Ac: 0.834 0.584 0.667

Properties
Symmetry ... Immm

***

Entry 14:
VASP calculation (PBE) on crystalline AcTb3Sm3 at its relaxed geometry.

Cell lengths 5.862, 9.785, 9.785 Å; angles 120.00, 90.00, 90.00 degrees
Positions (direct):
Tb: 0.750 0.187 0.231
Sm: 0.250 0.377 0.471
Sm: 0.750 0.906 0.377
Sm: 0.750 0.623 0.529
Tb: 0.750 0.769 0.956
Ac: 0.250 0.667 0.333
Ac: 0.750 0.333 0.667
Sm: 0.250 0.529 0.906
Sm: 0.250 0.094 0.623
Tb: 0.250 0.956 0.187
Tb: 0.750 0.044 0.813
Tb: 0.250 0.813 0.769
Tb: 0.250 0.231 0.044
Sm: 0.750 0.471 0.094

Properties
Symmetry ... P6_3/m

***

Entry 15:
VASP calculation (PBE) on crystalline AcTb8Sm2 at its relaxed geometry.

Cell lengths 5.549, 8.330, 9.514 Å; angles 115.96, 106.95, 90.00 degrees
Positions (direct):
Tb: 0.355 0.559 0.711
Tb: 0.839 0.839 0.678
Tb: 0.000 0.702 0.000
Tb: 0.645 0.441 0.289
Sm: 0.199 0.699 0.399
Ac: 0.500 0.000 0.000
Sm: 0.801 0.301 0.601
Tb: 0.000 0.298 0.000
Tb: 0.161 0.161 0.322
Tb: 0.355 0.152 0.711
Tb: 0.645 0.848 0.289

Properties
Symmetry ... Immm

***

Entry 16:
VASP calculation (PBE) on crystalline Ac4TbSm4 at its relaxed geometry.

Cell lengths 3.944, 9.570, 9.570 Å; angles 87.57, 78.11, 78.11 degrees
Positions (direct):
Sm: 0.656 0.344 0.344
Ac: 0.662 0.677 0.000
Sm: 0.344 0.656 0.656
Ac: 0.338 0.323 0.000
Sm: 0.000 0.656 0.344
Ac: 0.338 0.000 0.323
Sm: 0.000 0.344 0.656
Tb: 0.000 0.000 0.000
Ac: 0.662 0.000 0.677

Properties
Symmetry ... I4/mmm

***

Entry 17:
VASP calculation (PBE) on crystalline AcTb7Sm2 at its relaxed geometry.

Cell lengths 5.706, 9.195, 9.195 Å; angles 122.89, 90.00, 90.00 degrees
Positions (direct):
Sm: 0.500 0.298 0.702
Ac: 0.000 0.000 0.000
Tb: 0.500 0.500 0.500
Tb: 0.500 0.704 0.940
Tb: 0.500 0.060 0.296
Tb: 0.000 0.772 0.228
Tb: 0.000 0.228 0.772
Tb: 0.500 0.296 0.060
Sm: 0.500 0.702 0.298
Tb: 0.500 0.940 0.704

Properties
Symmetry ... Cmmm

***

Entry 18:
VASP calculation (PBE) on crystalline Ac10Tb4Sm at its relaxed geometry.

Cell lengths 8.295, 10.166, 10.166 Å; angles 80.42, 65.92, 65.92 degrees
Positions (direct):
Tb: 0.400 0.800 0.400
Ac: 0.549 0.101 0.301
Sm: 0.000 0.000 0.000
Tb: 0.800 0.600 0.800
Ac: 0.351 0.699 0.101
Ac: 0.250 0.500 0.500
Ac: 0.050 0.101 0.301
Ac: 0.950 0.899 0.699
Ac: 0.750 0.500 0.500
Ac: 0.151 0.301 0.899
Ac: 0.849 0.699 0.101
Tb: 0.200 0.400 0.200
Tb: 0.600 0.200 0.600
Ac: 0.649 0.301 0.899
Ac: 0.451 0.899 0.699

Properties
Symmetry ... I4/m

***

Entry 19:
VASP calculation (PBE) on crystalline AcTb4Sm3 at its relaxed geometry.

Cell lengths 3.506, 9.059, 9.059 Å; angles 81.43, 78.84, 78.84 degrees
Positions (direct):
Sm: 0.757 0.243 0.243
Ac: 0.500 0.000 0.000
Tb: 0.636 0.118 0.610
Tb: 0.364 0.882 0.390
Tb: 0.636 0.610 0.118
Tb: 0.364 0.390 0.882
Sm: 0.000 0.500 0.500
Sm: 0.243 0.757 0.757

Properties
Symmetry ... Immm

***

Entry 20:
VASP calculation (PBE) on crystalline Ac3Tb2Sm4 at its relaxed geometry.

Cell lengths 6.495, 6.496, 9.334 Å; angles 82.90, 96.25, 60.22 degrees
Positions (direct):
Tb: 0.217 0.779 0.666
Ac: 0.547 0.119 0.666
Ac: 0.000 0.000 0.000
Ac: 0.453 0.881 0.334
Sm: 0.892 0.447 0.669
Sm: 0.667 0.658 0.998
Sm: 0.333 0.342 0.002
Tb: 0.783 0.221 0.334
Sm: 0.108 0.553 0.331

Properties
Symmetry ... P-1

***

Quick rundown of theoretical density, same order as above: 7.88; 8.11; 7.15; 7.47; 8.14; 7.99; 7.72; 7.76; 7.80; 8.36; 7.71; 7.03; 8.11; 7.89; 7.99; 8.01; 6.72; 7.10; 7.93; 7.99 Mg/m³
Quick rundown of DFT formation energy, same order as above: 0.6; 1.5; 12.3; 3.7; 0.3; 0.2; 0.4; 4.8; 0.7; 0.4; 0.4; 7.4; 0.4; 0.3; 1.4; 1.1; 6.6; 8.7; 1.2; 0.4 eV/f.u.
Quick rundown of size of the total moment, same order as above: 0.002; 0.000; 0.000; 0.000; 0.000; 0.000; 0.000; 0.000; 0.000; 0.000; 0.000; 0.000; 0.000; 0.000; 0.000; 0.000; 0.000; 0.000; 0.000; 0.000 μB per formula unit